Entry 1:
VASP calculation (PBE) on crystalline PaTlGe at its relaxed geometry.

```
3
Lattice="0.0000 3.4865 3.4865 3.4865 0.0000 3.4865 3.4865 3.4865 0.0000" Properties=species:S:1:pos:R:3 pbc="T T T"
Ge 1.7432 1.7432 1.7432
Pa 5.2297 5.2297 5.2297
Tl 0.0000 0.0000 0.0000
```

Output
Its total DFT energy (no corrections) is -4.847 eV per atom. The volume comes out at 28.3 Å³/atom. The total magnetic moment is 1.45 μB per formula unit. For the distance to the lowest polymorph of the same formula, the calculation gives 0.291 eV/atom.

---

Entry 2:
VASP calculation (PBE) on crystalline PaTlGe at its relaxed geometry.

```
3
Lattice="0.0000 3.5133 3.5133 3.5133 0.0000 3.5133 3.5133 3.5133 0.0000" Properties=species:S:1:pos:R:3 pbc="T T T"
Ge 1.7567 1.7567 1.7567
Pa 0.0000 0.0000 0.0000
Tl 5.2700 5.2700 5.2700
```

Output
Its total DFT energy (no corrections) is -5.138 eV per atom. The volume comes out at 28.9 Å³/atom. The total magnetic moment is 1.11 μB per formula unit. For the distance to the lowest polymorph of the same formula, the calculation gives 0.000 eV/atom.

---

Entry 3:
VASP calculation (PBE) on crystalline UPaGe at its relaxed geometry.

```
3
Lattice="0.0000 3.3277 3.3277 3.3277 0.0000 3.3277 3.3277 3.3277 0.0000" Properties=species:S:1:pos:R:3 pbc="T T T"
Ge 0.0000 0.0000 0.0000
Pa 1.6638 1.6638 1.6638
U 4.9915 4.9915 4.9915
```

Output
Its total DFT energy (no corrections) is -8.116 eV per atom. The volume comes out at 24.6 Å³/atom. The total magnetic moment is 3.49 μB per formula unit. For the distance to the lowest polymorph of the same formula, the calculation gives 0.000 eV/atom.

---

Entry 4:
VASP calculation (PBE) on crystalline PaGeW at its relaxed geometry.

```
3
Lattice="0.0000 3.2815 3.2815 3.2815 0.0000 3.2815 3.2815 3.2815 0.0000" Properties=species:S:1:pos:R:3 pbc="T T T"
Ge 1.6408 1.6408 1.6408
Pa 0.0000 0.0000 0.0000
W 4.9223 4.9223 4.9223
```

Output
Its total DFT energy (no corrections) is -7.938 eV per atom. The volume comes out at 23.6 Å³/atom. The total magnetic moment is 0.02 μB per formula unit. For the distance to the lowest polymorph of the same formula, the calculation gives 0.724 eV/atom.

---

Entry 5:
VASP calculation (PBE) on crystalline PaGeW at its relaxed geometry.

```
3
Lattice="1.6367 -3.0719 2.9148 0.9786 1.2126 4.2642 -2.5826 -1.4768 3.4294" Properties=species:S:1:pos:R:3 pbc="T T T"
Ge 0.0082 -0.8340 2.6521
Pa 0.0246 -2.5021 7.9563
W 0.0000 0.0000 0.0000
```

Output
Its total DFT energy (no corrections) is -8.662 eV per atom. The volume comes out at 22.1 Å³/atom. The total magnetic moment is 0.06 μB per formula unit. For the distance to the lowest polymorph of the same formula, the calculation gives 0.000 eV/atom.

---

Entry 6:
VASP calculation (PBE) on crystalline YPaGe at its relaxed geometry.

```
3
Lattice="2.8780 0.3655 3.7749 1.3494 4.2917 1.5580 -1.6863 1.6731 4.1260" Properties=species:S:1:pos:R:3 pbc="T T T"
Ge 1.2705 3.1652 4.7294
Pa 0.0000 0.0000 0.0000
Y 0.6353 1.5826 2.3647
```

Output
Its total DFT energy (no corrections) is -6.201 eV per atom. The volume comes out at 25.4 Å³/atom. The total magnetic moment is 0.02 μB per formula unit. For the distance to the lowest polymorph of the same formula, the calculation gives 0.000 eV/atom.

---

Entry 7:
VASP calculation (PBE) on crystalline PaZnGe at its relaxed geometry.

```
3
Lattice="0.0000 3.3448 3.3448 3.3448 0.0000 3.3448 3.3448 3.3448 0.0000" Properties=species:S:1:pos:R:3 pbc="T T T"
Ge 1.6724 1.6724 1.6724
Pa 0.0000 0.0000 0.0000
Zn 5.0172 5.0172 5.0172
```

Output
Its total DFT energy (no corrections) is -4.899 eV per atom. The volume comes out at 24.9 Å³/atom. The total magnetic moment is 0.56 μB per formula unit.

---

Entry 8:
VASP calculation (PBE) on crystalline PaZnGe at its relaxed geometry.

```
3
Lattice="0.2069 -4.3365 1.2448 2.2333 -1.1696 3.7473 -2.2749 -1.4169 3.6352" Properties=species:S:1:pos:R:3 pbc="T T T"
Ge 0.0413 -1.7308 2.1568
Pa 0.1240 -5.1923 6.4704
Zn 0.0000 0.0000 0.0000
```

Output
Its total DFT energy (no corrections) is -5.048 eV per atom. The volume comes out at 21.7 Å³/atom. The total magnetic moment is 0.49 μB per formula unit.

---

Entry 9:
VASP calculation (PBE) on crystalline PaZnGe2 at its relaxed geometry.

```
4
Lattice="-3.9676 -0.4726 -1.8032 1.8557 -1.4039 -3.7152 -0.1642 -3.8282 1.3645" Properties=species:S:1:pos:R:3 pbc="T T T"
Ge -1.9838 -0.2363 -0.9016
Ge 0.9278 -0.7019 -1.8576
Pa -0.0821 -1.9141 0.6823
Zn -1.1381 -2.8523 -2.0769
```

Output
Its total DFT energy (no corrections) is -5.383 eV per atom. The volume comes out at 19.5 Å³/atom. The total magnetic moment is 0.00 μB per formula unit.

---

Entry 10:
VASP calculation (PBE) on crystalline ZrPaGe at its relaxed geometry.

```
3
Lattice="1.6128 -4.3350 -0.5237 -2.5423 -3.1709 -2.2694 1.3464 -1.4910 -4.1991" Properties=species:S:1:pos:R:3 pbc="T T T"
Ge 0.1042 -2.2492 -1.7480
Pa 0.3127 -6.7477 -5.2441
Zr 0.0000 0.0000 0.0000
```

Output
Its total DFT energy (no corrections) is -7.193 eV per atom. The volume comes out at 23.8 Å³/atom. The total magnetic moment is 0.15 μB per formula unit.

---

Entry 11:
VASP calculation (PBE) on crystalline GePd2Pb at its relaxed geometry.

```
8
Lattice="6.1370 0.0000 0.0000 0.0000 3.8250 0.0000 -0.0157 0.0000 6.6656" Properties=species:S:1:pos:R:3 pbc="T T T"
Ge 1.7864 2.8687 2.8150
Ge 4.3349 0.9563 3.8506
Pb 4.8408 2.8687 0.6036
Pb 1.2806 0.9563 6.0620
Pd 2.9692 0.9563 1.6463
Pd 0.0963 0.9563 2.2037
Pd 6.0250 2.8687 4.4619
Pd 3.1522 2.8687 5.0193
```

Output
Its total DFT energy (no corrections) is -5.018 eV per atom. The volume comes out at 19.6 Å³/atom. For the distance to the lowest polymorph of the same formula, the calculation gives 0.013 eV/atom.

---

Entry 12:
VASP calculation (PBE) on crystalline GePd2Pb at its relaxed geometry.

```
8
Lattice="3.5820 0.0000 0.0000 0.0000 6.6494 0.0000 0.0000 0.0000 6.4349" Properties=species:S:1:pos:R:3 pbc="T T T"
Ge 1.7910 6.2287 2.7164
Ge 0.0000 0.4208 5.9338
Pb 1.7910 3.0345 0.5056
Pb 0.0000 3.6150 3.7231
Pd 0.0000 5.2044 1.2108
Pd 0.0000 1.3252 2.0022
Pd 1.7910 1.4450 4.4283
Pd 1.7910 5.3243 5.2196
```

Output
Its total DFT energy (no corrections) is -5.031 eV per atom. The volume comes out at 19.2 Å³/atom. For the distance to the lowest polymorph of the same formula, the calculation gives 0.000 eV/atom.

---

- Which formula does entry 3 have?
  UPaGe